# 1
# Dy2GaNi | the Alexandria database | PBE-GGA | optimized geometry
# total magnetic moment	0.00	μB per formula unit
# crystal system	monoclinic
# total energy	-5.014	eV per atom
# ΔH_f (0 K)	-0.5113	eV per atom
data_Dy2GaNi
_chemical_formula_sum 'Dy4 Ga2 Ni2'
_cell_length_a 4.3241
_cell_length_b 5.9003
_cell_length_c 7.5943
_cell_angle_alpha 115.53
_cell_angle_beta 90.00
_cell_angle_gamma 90.00
_symmetry_space_group_name_H-M 'P 1'
_symmetry_Int_Tables_number 1
loop_
_symmetry_equiv_pos_as_xyz
'x,y,z'
loop_
_atom_site_label
_atom_site_type_symbol
_atom_site_fract_x
_atom_site_fract_y
_atom_site_fract_z
_atom_site_occupancy
Dy1 Dy 0.7500 0.2402 0.4110 1
Dy2 Dy 0.2500 0.7598 0.5890 1
Dy3 Dy 0.2500 0.7967 0.0699 1
Dy4 Dy 0.7500 0.2033 0.9301 1
Ga1 Ga 0.7500 0.6737 0.2941 1
Ga2 Ga 0.2500 0.3263 0.7059 1
Ni1 Ni 0.2500 0.3811 0.2110 1
Ni2 Ni 0.7500 0.6189 0.7890 1



# 2
# Y2ThSe | the Alexandria database | PBE-GGA | optimized geometry
# formation energy without anion corrections	-0.711	eV/atom
# total magnetic moment	0.00	μB per formula unit
# crystal system	tetragonal
# total energy	-6.669	eV per atom
data_Y2ThSe
_chemical_formula_sum 'Y2 Th1 Se1'
_cell_length_a 3.6177
_cell_length_b 3.6177
_cell_length_c 8.4564
_cell_angle_alpha 90.00
_cell_angle_beta 90.00
_cell_angle_gamma 90.00
_symmetry_space_group_name_H-M 'P 1'
_symmetry_Int_Tables_number 1
loop_
_symmetry_equiv_pos_as_xyz
'x,y,z'
loop_
_atom_site_label
_atom_site_type_symbol
_atom_site_fract_x
_atom_site_fract_y
_atom_site_fract_z
_atom_site_occupancy
Y1 Y 0.0000 0.0000 0.7881 1
Y2 Y 0.0000 0.0000 0.2119 1
Se1 Se 0.5000 0.5000 0.0000 1
Th1 Th 0.5000 0.5000 0.5000 1



# 3
# Sr2ReRh | the Alexandria database | PBE-GGA | optimized geometry
# total magnetic moment	3.31	μB per formula unit
# crystal system	cubic
# total energy	-4.846	eV per atom
# ΔH_f (0 K)	0.9443	eV per atom
data_Sr2ReRh
_chemical_formula_sum 'Sr2 Re1 Rh1'
_cell_length_a 5.2310
_cell_length_b 5.2310
_cell_length_c 5.2310
_cell_angle_alpha 60.00
_cell_angle_beta 60.00
_cell_angle_gamma 60.00
_symmetry_space_group_name_H-M 'P 1'
_symmetry_Int_Tables_number 1
loop_
_symmetry_equiv_pos_as_xyz
'x,y,z'
loop_
_atom_site_label
_atom_site_type_symbol
_atom_site_fract_x
_atom_site_fract_y
_atom_site_fract_z
_atom_site_occupancy
Re1 Re 0.5000 0.5000 0.5000 1
Rh1 Rh 0.0000 0.0000 0.0000 1
Sr1 Sr 0.2500 0.2500 0.2500 1
Sr2 Sr 0.7500 0.7500 0.7500 1



# 4
# Ho7Ag2Ru2 | the Alexandria database | PBE-GGA | optimized geometry
# total magnetic moment	0.00	μB per formula unit
# crystal system	orthorhombic
# total energy	-5.308	eV per atom
# ΔH_f (0 K)	-0.1899	eV per atom
data_Ho7Ag2Ru2
_chemical_formula_sum 'Ho7 Ag2 Ru2'
_cell_length_a 6.6536
_cell_length_b 7.0298
_cell_length_c 6.6536
_cell_angle_alpha 90.00
_cell_angle_beta 108.12
_cell_angle_gamma 90.00
_symmetry_space_group_name_H-M 'P 1'
_symmetry_Int_Tables_number 1
loop_
_symmetry_equiv_pos_as_xyz
'x,y,z'
loop_
_atom_site_label
_atom_site_type_symbol
_atom_site_fract_x
_atom_site_fract_y
_atom_site_fract_z
_atom_site_occupancy
Ho1 Ho 0.0000 0.2565 0.5000 1
Ho2 Ho 0.5000 0.7435 0.0000 1
Ho3 Ho 0.0000 0.7435 0.5000 1
Ho4 Ho 0.5000 0.2565 0.0000 1
Ho5 Ho 0.0000 0.0000 0.0000 1
Ho6 Ho 0.5000 0.7544 0.5000 1
Ho7 Ho 0.5000 0.2456 0.5000 1
Ag1 Ag 0.8218 0.5000 0.8218 1
Ag2 Ag 0.1782 0.5000 0.1782 1
Ru1 Ru 0.7056 0.0000 0.2944 1
Ru2 Ru 0.2944 0.0000 0.7056 1



# 5
# CsYPdF6 | the Alexandria database | PBE-GGA | optimized geometry
# formation energy without anion corrections	-2.801	eV/atom
# total magnetic moment	2.00	μB per formula unit
# crystal system	orthorhombic
# total energy	-5.439	eV per atom
data_CsYPdF6
_chemical_formula_sum 'Cs2 Y2 Pd2 F12'
_cell_length_a 8.2957
_cell_length_b 7.8957
_cell_length_c 8.0896
_cell_angle_alpha 119.21
_cell_angle_beta 120.85
_cell_angle_gamma 90.00
_symmetry_space_group_name_H-M 'P 1'
_symmetry_Int_Tables_number 1
loop_
_symmetry_equiv_pos_as_xyz
'x,y,z'
loop_
_atom_site_label
_atom_site_type_symbol
_atom_site_fract_x
_atom_site_fract_y
_atom_site_fract_z
_atom_site_occupancy
Cs1 Cs 0.8404 0.5904 0.6808 1
Cs2 Cs 0.1596 0.4096 0.3192 1
Y1 Y 0.5000 0.0000 0.5000 1
Y2 Y 0.0000 0.0000 0.5000 1
Pd1 Pd 0.5000 0.5000 0.0000 1
Pd2 Pd 0.5000 0.0000 0.0000 1
F1 F 0.4200 0.6700 0.8400 1
F2 F 0.8170 0.0670 0.6340 1
F3 F 0.8247 0.0824 0.2561 1
F4 F 0.4314 0.6737 0.2561 1
F5 F 0.4314 0.0824 0.2561 1
F6 F 0.8247 0.6737 0.2561 1
F7 F 0.5800 0.3300 0.1600 1
F8 F 0.1830 0.9330 0.3660 1
F9 F 0.1753 0.9176 0.7439 1
F10 F 0.5686 0.3263 0.7439 1
F11 F 0.5686 0.9176 0.7439 1
F12 F 0.1753 0.3263 0.7439 1



# 6
# Y2Tc | the Alexandria database | PBE-GGA | optimized geometry
# total magnetic moment	0.00	μB per formula unit
# crystal system	orthorhombic
# total energy	-7.560	eV per atom
# ΔH_f (0 K)	0.2049	eV per atom
data_Y2Tc
_chemical_formula_sum 'Y4 Tc2'
_cell_length_a 3.4604
_cell_length_b 6.8397
_cell_length_c 6.9225
_cell_angle_alpha 90.00
_cell_angle_beta 90.00
_cell_angle_gamma 90.00
_symmetry_space_group_name_H-M 'P 1'
_symmetry_Int_Tables_number 1
loop_
_symmetry_equiv_pos_as_xyz
'x,y,z'
loop_
_atom_site_label
_atom_site_type_symbol
_atom_site_fract_x
_atom_site_fract_y
_atom_site_fract_z
_atom_site_occupancy
Y1 Y 0.0000 0.2234 0.3322 1
Y2 Y 0.5000 0.2766 0.8322 1
Y3 Y 0.5000 0.7234 0.1678 1
Y4 Y 0.0000 0.7766 0.6678 1
Tc1 Tc 0.0000 0.0000 0.0000 1
Tc2 Tc 0.5000 0.5000 0.5000 1



# 7
# Mg8Ni2Ir | the Alexandria database | PBE-GGA | optimized geometry
# total magnetic moment	0.00	μB per formula unit
# crystal system	monoclinic
# total energy	-3.170	eV per atom
# ΔH_f (0 K)	-0.1534	eV per atom
data_Mg8Ni2Ir
_chemical_formula_sum 'Mg8 Ni2 Ir1'
_cell_length_a 4.4054
_cell_length_b 6.7402
_cell_length_c 7.4738
_cell_angle_alpha 113.60
_cell_angle_beta 107.14
_cell_angle_gamma 90.00
_symmetry_space_group_name_H-M 'P 1'
_symmetry_Int_Tables_number 1
loop_
_symmetry_equiv_pos_as_xyz
'x,y,z'
loop_
_atom_site_label
_atom_site_type_symbol
_atom_site_fract_x
_atom_site_fract_y
_atom_site_fract_z
_atom_site_occupancy
Mg1 Mg 0.3793 0.5559 0.7586 1
Mg2 Mg 0.6704 0.9173 0.3409 1
Mg3 Mg 0.8413 0.7850 0.6826 1
Mg4 Mg 0.9695 0.2565 0.9391 1
Mg5 Mg 0.1587 0.2150 0.3174 1
Mg6 Mg 0.3296 0.0827 0.6591 1
Mg7 Mg 0.6207 0.4441 0.2414 1
Mg8 Mg 0.0305 0.7435 0.0609 1
Ni1 Ni 0.7984 0.3382 0.5968 1
Ni2 Ni 0.2016 0.6618 0.4032 1
Ir1 Ir 0.5000 0.0000 0.0000 1



# 8
# Ba3Cu2BiO9 | the Alexandria database | PBE-GGA | optimized geometry
# formation energy without anion corrections	-1.433	eV/atom
# total magnetic moment	0.58	μB per formula unit
# crystal system	trigonal
# total energy	-5.597	eV per atom
data_Ba3Cu2BiO9
_chemical_formula_sum 'Ba3 Cu2 Bi1 O9'
_cell_length_a 5.8339
_cell_length_b 5.8339
_cell_length_c 7.1467
_cell_angle_alpha 90.00
_cell_angle_beta 90.00
_cell_angle_gamma 120.00
_symmetry_space_group_name_H-M 'P 1'
_symmetry_Int_Tables_number 1
loop_
_symmetry_equiv_pos_as_xyz
'x,y,z'
loop_
_atom_site_label
_atom_site_type_symbol
_atom_site_fract_x
_atom_site_fract_y
_atom_site_fract_z
_atom_site_occupancy
Ba1 Ba 0.3333 0.6667 0.6799 1
Ba2 Ba 0.0000 0.0000 0.0000 1
Ba3 Ba 0.6667 0.3333 0.3201 1
Cu1 Cu 0.3333 0.6667 0.1570 1
Cu2 Cu 0.6667 0.3333 0.8430 1
Bi1 Bi 0.0000 0.0000 0.5000 1
O1 O 0.8274 0.1726 0.6766 1
O2 O 0.8274 0.6549 0.6766 1
O3 O 0.3451 0.1726 0.6766 1
O4 O 0.6549 0.8274 0.3234 1
O5 O 0.1726 0.3451 0.3234 1
O6 O 0.1726 0.8274 0.3234 1
O7 O 0.5000 0.0000 0.0000 1
O8 O 0.0000 0.5000 0.0000 1
O9 O 0.5000 0.5000 0.0000 1



Question: total energy of number 4 (Ho7Ag2Ru2)?
Answer: -5.308 eV per atom



Question: What is the formula in the fourth record?
Answer: Ho7Ag2Ru2



Question: Number 6 is which compound?
Answer: Y2Tc